Run 1
# Ba2SrI6, relaxed, DFT PBE-GGA
# ρ, g cm⁻³: 3.9
# Symmetry: No. 60
data_Ba2SrI6
_chemical_formula_sum 'Ba8 Sr4 I24'
_cell_length_a 7.849
_cell_length_b 8.613
_cell_length_c 28.475
_cell_angle_alpha 90.00
_cell_angle_beta 90.00
_cell_angle_gamma 90.00
_space_group_name_H-M_alt 'P 1'
_space_group_IT_number 1
loop_
_space_group_symop_operation_xyz
'x,y,z'
loop_
_atom_site_label
_atom_site_type_symbol
_atom_site_fract_x
_atom_site_fract_y
_atom_site_fract_z
Ba1 Ba 0.000 0.250 0.053
Ba2 Ba 0.000 0.750 0.281
Ba3 Ba 0.000 0.250 0.719
Ba4 Ba 0.000 0.750 0.947
Ba5 Ba 0.500 0.250 0.219
Ba6 Ba 0.500 0.250 0.553
Ba7 Ba 0.500 0.750 0.781
Ba8 Ba 0.500 0.750 0.447
Sr1 Sr 0.000 0.250 0.385
Sr2 Sr 0.000 0.750 0.615
Sr3 Sr 0.500 0.250 0.885
Sr4 Sr 0.500 0.750 0.115
I1 I 0.248 0.583 0.036
I2 I 0.248 0.083 0.964
I3 I 0.260 0.579 0.197
I4 I 0.260 0.079 0.803
I5 I 0.238 0.561 0.367
I6 I 0.238 0.061 0.633
I7 I 0.262 0.561 0.867
I8 I 0.262 0.061 0.133
I9 I 0.240 0.079 0.303
I10 I 0.240 0.579 0.697
I11 I 0.252 0.083 0.464
I12 I 0.252 0.583 0.536
I13 I 0.748 0.417 0.464
I14 I 0.748 0.917 0.536
I15 I 0.760 0.421 0.303
I16 I 0.760 0.921 0.697
I17 I 0.738 0.439 0.133
I18 I 0.738 0.939 0.867
I19 I 0.762 0.439 0.633
I20 I 0.762 0.939 0.367
I21 I 0.740 0.921 0.197
I22 I 0.740 0.421 0.803
I23 I 0.752 0.917 0.036
I24 I 0.752 0.417 0.964

***

Run 2
# Ba2SrI6, relaxed, DFT PBE-GGA
# ρ, g cm⁻³: 3.9
# Symmetry: No. 162
data_Ba2SrI6
_chemical_formula_sum 'Ba2 Sr1 I6'
_cell_length_a 8.700
_cell_length_b 8.700
_cell_length_c 7.261
_cell_angle_alpha 90.00
_cell_angle_beta 90.00
_cell_angle_gamma 120.00
_space_group_name_H-M_alt 'P 1'
_space_group_IT_number 1
loop_
_space_group_symop_operation_xyz
'x,y,z'
loop_
_atom_site_label
_atom_site_type_symbol
_atom_site_fract_x
_atom_site_fract_y
_atom_site_fract_z
Ba1 Ba 0.333 0.667 0.500
Ba2 Ba 0.667 0.333 0.500
Sr1 Sr 0.000 0.000 0.000
I1 I 0.000 0.673 0.758
I2 I 0.000 0.327 0.242
I3 I 0.327 0.327 0.758
I4 I 0.673 0.673 0.242
I5 I 0.327 0.000 0.242
I6 I 0.673 0.000 0.758

***

Run 3
# Ba2SrI6, relaxed, DFT PBE-GGA
# ρ, g cm⁻³: 4.5
# Symmetry: No. 15
data_Ba2SrI6
_chemical_formula_sum 'Ba4 Sr2 I12'
_cell_length_a 9.273
_cell_length_b 9.273
_cell_length_c 11.210
_cell_angle_alpha 87.33
_cell_angle_beta 87.33
_cell_angle_gamma 121.05
_space_group_name_H-M_alt 'P 1'
_space_group_IT_number 1
loop_
_space_group_symop_operation_xyz
'x,y,z'
loop_
_atom_site_label
_atom_site_type_symbol
_atom_site_fract_x
_atom_site_fract_y
_atom_site_fract_z
Ba1 Ba 0.700 0.371 0.476
Ba2 Ba 0.629 0.300 0.024
Ba3 Ba 0.371 0.700 0.976
Ba4 Ba 0.300 0.629 0.524
Sr1 Sr 0.958 0.042 0.750
Sr2 Sr 0.042 0.958 0.250
I1 I 0.695 0.641 0.853
I2 I 0.033 0.440 0.800
I3 I 0.972 0.215 0.458
I4 I 0.785 0.028 0.042
I5 I 0.560 0.967 0.700
I6 I 0.359 0.305 0.647
I7 I 0.641 0.695 0.353
I8 I 0.440 0.033 0.300
I9 I 0.215 0.972 0.958
I10 I 0.028 0.785 0.542
I11 I 0.967 0.560 0.200
I12 I 0.305 0.359 0.147

***

Run 4
# Ba2SrI6, relaxed, DFT PBE-GGA
# ρ, g cm⁻³: 4.3
# Symmetry: No. 14
data_Ba2SrI6
_chemical_formula_sum 'Ba4 Sr2 I12'
_cell_length_a 8.234
_cell_length_b 8.746
_cell_length_c 12.265
_cell_angle_alpha 90.00
_cell_angle_beta 97.32
_cell_angle_gamma 90.00
_space_group_name_H-M_alt 'P 1'
_space_group_IT_number 1
loop_
_space_group_symop_operation_xyz
'x,y,z'
loop_
_atom_site_label
_atom_site_type_symbol
_atom_site_fract_x
_atom_site_fract_y
_atom_site_fract_z
Ba1 Ba 0.948 0.397 0.773
Ba2 Ba 0.552 0.897 0.727
Ba3 Ba 0.448 0.103 0.273
Ba4 Ba 0.052 0.603 0.227
Sr1 Sr 0.500 0.500 0.000
Sr2 Sr 0.000 0.000 0.500
I1 I 0.834 0.942 0.249
I2 I 0.821 0.688 0.583
I3 I 0.821 0.689 0.941
I4 I 0.679 0.189 0.559
I5 I 0.679 0.188 0.917
I6 I 0.666 0.442 0.251
I7 I 0.166 0.058 0.751
I8 I 0.179 0.312 0.417
I9 I 0.179 0.311 0.059
I10 I 0.321 0.811 0.441
I11 I 0.321 0.812 0.083
I12 I 0.334 0.558 0.749

***

Which structure is the least stable? The one labeled run 3.

***

Run 1
# BaSr2I6, relaxed, DFT PBE-GGA
# ρ, g cm⁻³: 3.9
# Symmetry: No. 14
data_BaSr2I6
_chemical_formula_sum 'Ba2 Sr4 I12'
_cell_length_a 8.371
_cell_length_b 7.614
_cell_length_c 15.864
_cell_angle_alpha 64.71
_cell_angle_beta 90.00
_cell_angle_gamma 90.00
_space_group_name_H-M_alt 'P 1'
_space_group_IT_number 1
loop_
_space_group_symop_operation_xyz
'x,y,z'
loop_
_atom_site_label
_atom_site_type_symbol
_atom_site_fract_x
_atom_site_fract_y
_atom_site_fract_z
Ba1 Ba 0.000 0.000 0.000
Ba2 Ba 0.500 0.000 0.500
Sr1 Sr 0.596 0.669 0.253
Sr2 Sr 0.096 0.331 0.247
Sr3 Sr 0.904 0.669 0.753
Sr4 Sr 0.404 0.331 0.747
I1 I 0.320 0.692 0.099
I2 I 0.804 0.563 0.099
I3 I 0.424 0.050 0.274
I4 I 0.924 0.950 0.226
I5 I 0.304 0.437 0.401
I6 I 0.820 0.308 0.401
I7 I 0.180 0.692 0.599
I8 I 0.696 0.563 0.599
I9 I 0.076 0.050 0.774
I10 I 0.576 0.950 0.726
I11 I 0.196 0.437 0.901
I12 I 0.680 0.308 0.901

***

Run 2
# BaSr2I6, relaxed, DFT PBE-GGA
# ρ, g cm⁻³: 4.2
# Symmetry: No. 15
data_BaSr2I6
_chemical_formula_sum 'Ba2 Sr4 I12'
_cell_length_a 8.889
_cell_length_b 8.889
_cell_length_c 12.386
_cell_angle_alpha 88.13
_cell_angle_beta 88.13
_cell_angle_gamma 119.37
_space_group_name_H-M_alt 'P 1'
_space_group_IT_number 1
loop_
_space_group_symop_operation_xyz
'x,y,z'
loop_
_atom_site_label
_atom_site_type_symbol
_atom_site_fract_x
_atom_site_fract_y
_atom_site_fract_z
Ba1 Ba 0.012 0.988 0.750
Ba2 Ba 0.988 0.012 0.250
Sr1 Sr 0.410 0.706 0.436
Sr2 Sr 0.294 0.590 0.064
Sr3 Sr 0.706 0.410 0.936
Sr4 Sr 0.590 0.294 0.564
I1 I 0.595 0.706 0.872
I2 I 0.435 0.079 0.801
I3 I 0.239 0.969 0.465
I4 I 0.031 0.761 0.035
I5 I 0.921 0.565 0.699
I6 I 0.294 0.405 0.628
I7 I 0.706 0.595 0.372
I8 I 0.079 0.435 0.301
I9 I 0.969 0.239 0.965
I10 I 0.761 0.031 0.535
I11 I 0.565 0.921 0.199
I12 I 0.405 0.294 0.128

***

Which structure is the least stable? The one labeled run 1.

***

Run 1
# BaSr2I6, relaxed, DFT PBE-GGA
# ρ, g cm⁻³: 3.9
# Symmetry: No. 162
data_BaSr2I6
_chemical_formula_sum 'Ba1 Sr2 I6'
_cell_length_a 8.413
_cell_length_b 8.413
_cell_length_c 7.513
_cell_angle_alpha 90.00
_cell_angle_beta 90.00
_cell_angle_gamma 120.00
_space_group_name_H-M_alt 'P 1'
_space_group_IT_number 1
loop_
_space_group_symop_operation_xyz
'x,y,z'
loop_
_atom_site_label
_atom_site_type_symbol
_atom_site_fract_x
_atom_site_fract_y
_atom_site_fract_z
Ba1 Ba 0.000 0.000 0.000
Sr1 Sr 0.333 0.667 0.500
Sr2 Sr 0.667 0.333 0.500
I1 I 0.000 0.651 0.746
I2 I 0.000 0.349 0.254
I3 I 0.349 0.349 0.746
I4 I 0.651 0.651 0.254
I5 I 0.349 0.000 0.254
I6 I 0.651 0.000 0.746

***

Run 2
# BaSr2I6, relaxed, DFT PBE-GGA
# ρ, g cm⁻³: 4.4
# Symmetry: No. 117
data_BaSr2I6
_chemical_formula_sum 'Ba4 Sr8 I24'
_cell_length_a 8.161
_cell_length_b 8.161
_cell_length_c 24.577
_cell_angle_alpha 90.00
_cell_angle_beta 90.00
_cell_angle_gamma 90.00
_space_group_name_H-M_alt 'P 1'
_space_group_IT_number 1
loop_
_space_group_symop_operation_xyz
'x,y,z'
loop_
_atom_site_label
_atom_site_type_symbol
_atom_site_fract_x
_atom_site_fract_y
_atom_site_fract_z
Ba1 Ba 0.000 0.000 0.000
Ba2 Ba 0.000 0.500 0.500
Ba3 Ba 0.500 0.000 0.500
Ba4 Ba 0.500 0.500 0.000
Sr1 Sr 0.000 0.500 0.168
Sr2 Sr 0.000 0.000 0.332
Sr3 Sr 0.000 0.000 0.668
Sr4 Sr 0.000 0.500 0.832
Sr5 Sr 0.500 0.500 0.332
Sr6 Sr 0.500 0.000 0.168
Sr7 Sr 0.500 0.000 0.832
Sr8 Sr 0.500 0.500 0.668
I1 I 0.242 0.758 0.587
I2 I 0.251 0.749 0.087
I3 I 0.251 0.251 0.913
I4 I 0.258 0.742 0.413
I5 I 0.255 0.256 0.250
I6 I 0.244 0.245 0.750
I7 I 0.256 0.745 0.750
I8 I 0.245 0.756 0.250
I9 I 0.249 0.751 0.913
I10 I 0.242 0.242 0.413
I11 I 0.249 0.249 0.087
I12 I 0.258 0.258 0.587
I13 I 0.742 0.742 0.587
I14 I 0.751 0.751 0.087
I15 I 0.751 0.249 0.913
I16 I 0.758 0.758 0.413
I17 I 0.755 0.244 0.250
I18 I 0.744 0.255 0.750
I19 I 0.756 0.755 0.750
I20 I 0.745 0.744 0.250
I21 I 0.742 0.258 0.413
I22 I 0.749 0.749 0.913
I23 I 0.749 0.251 0.087
I24 I 0.758 0.242 0.587

***

Which structure is the least stable? The one labeled run 2.

***

Run 1
# BaSr2I6, relaxed, DFT PBE-GGA
# ρ, g cm⁻³: 4.1
# Symmetry: No. 15
data_BaSr2I6
_chemical_formula_sum 'Ba2 Sr4 I12'
_cell_length_a 10.191
_cell_length_b 10.191
_cell_length_c 12.067
_cell_angle_alpha 68.25
_cell_angle_beta 68.25
_cell_angle_gamma 48.77
_space_group_name_H-M_alt 'P 1'
_space_group_IT_number 1
loop_
_space_group_symop_operation_xyz
'x,y,z'
loop_
_atom_site_label
_atom_site_type_symbol
_atom_site_fract_x
_atom_site_fract_y
_atom_site_fract_z
Ba1 Ba 0.047 0.953 0.750
Ba2 Ba 0.953 0.047 0.250
Sr1 Sr 0.591 0.697 0.370
Sr2 Sr 0.303 0.409 0.130
Sr3 Sr 0.697 0.591 0.870
Sr4 Sr 0.409 0.303 0.630
I1 I 0.057 0.318 0.696
I2 I 0.214 0.729 0.489
I3 I 0.507 0.214 0.364
I4 I 0.318 0.057 0.196
I5 I 0.729 0.214 0.989
I6 I 0.786 0.493 0.136
I7 I 0.214 0.507 0.864
I8 I 0.271 0.786 0.011
I9 I 0.682 0.943 0.804
I10 I 0.493 0.786 0.636
I11 I 0.786 0.271 0.511
I12 I 0.943 0.682 0.304

***

Run 2
# BaSr2I6, relaxed, DFT PBE-GGA
# ρ, g cm⁻³: 3.8
# Symmetry: No. 136
data_BaSr2I6
_chemical_formula_sum 'Ba2 Sr4 I12'
_cell_length_a 7.880
_cell_length_b 7.880
_cell_length_c 15.275
_cell_angle_alpha 90.00
_cell_angle_beta 90.00
_cell_angle_gamma 90.00
_space_group_name_H-M_alt 'P 1'
_space_group_IT_number 1
loop_
_space_group_symop_operation_xyz
'x,y,z'
loop_
_atom_site_label
_atom_site_type_symbol
_atom_site_fract_x
_atom_site_fract_y
_atom_site_fract_z
Ba1 Ba 0.000 0.000 0.000
Ba2 Ba 0.500 0.500 0.500
Sr1 Sr 0.000 0.000 0.333
Sr2 Sr 0.000 0.000 0.667
Sr3 Sr 0.500 0.500 0.167
Sr4 Sr 0.500 0.500 0.833
I1 I 0.201 0.799 0.174
I2 I 0.201 0.799 0.826
I3 I 0.189 0.811 0.500
I4 I 0.311 0.311 0.000
I5 I 0.299 0.299 0.326
I6 I 0.299 0.299 0.674
I7 I 0.701 0.701 0.326
I8 I 0.701 0.701 0.674
I9 I 0.689 0.689 0.000
I10 I 0.811 0.189 0.500
I11 I 0.799 0.201 0.174
I12 I 0.799 0.201 0.826

***

Run 3
# BaSr2I6, relaxed, DFT PBE-GGA
# ρ, g cm⁻³: 3.9
# Symmetry: No. 15
data_BaSr2I6
_chemical_formula_sum 'Ba2 Sr4 I12'
_cell_length_a 13.793
_cell_length_b 13.793
_cell_length_c 9.068
_cell_angle_alpha 80.41
_cell_angle_beta 80.41
_cell_angle_gamma 32.57
_space_group_name_H-M_alt 'P 1'
_space_group_IT_number 1
loop_
_space_group_symop_operation_xyz
'x,y,z'
loop_
_atom_site_label
_atom_site_type_symbol
_atom_site_fract_x
_atom_site_fract_y
_atom_site_fract_z
Ba1 Ba 0.295 0.705 0.750
Ba2 Ba 0.705 0.295 0.250
Sr1 Sr 0.940 0.404 0.873
Sr2 Sr 0.404 0.940 0.373
Sr3 Sr 0.596 0.060 0.627
Sr4 Sr 0.060 0.596 0.127
I1 I 0.572 0.586 0.963
I2 I 0.586 0.572 0.463
I3 I 0.115 0.096 0.663
I4 I 0.096 0.115 0.163
I5 I 0.719 0.732 0.604
I6 I 0.732 0.719 0.104
I7 I 0.268 0.281 0.896
I8 I 0.281 0.268 0.396
I9 I 0.904 0.885 0.837
I10 I 0.885 0.904 0.337
I11 I 0.414 0.428 0.537
I12 I 0.428 0.414 0.037

***

Run 4
# BaSr2I6, relaxed, DFT PBE-GGA
# ρ, g cm⁻³: 4.4
# Symmetry: No. 64
data_BaSr2I6
_chemical_formula_sum 'Ba2 Sr4 I12'
_cell_length_a 12.952
_cell_length_b 12.952
_cell_length_c 8.156
_cell_angle_alpha 90.00
_cell_angle_beta 90.00
_cell_angle_gamma 143.29
_space_group_name_H-M_alt 'P 1'
_space_group_IT_number 1
loop_
_space_group_symop_operation_xyz
'x,y,z'
loop_
_atom_site_label
_atom_site_type_symbol
_atom_site_fract_x
_atom_site_fract_y
_atom_site_fract_z
Ba1 Ba 0.000 0.000 0.500
Ba2 Ba 0.500 0.500 0.000
Sr1 Sr 0.168 0.832 0.000
Sr2 Sr 0.332 0.668 0.500
Sr3 Sr 0.832 0.168 0.000
Sr4 Sr 0.668 0.332 0.500
I1 I 0.664 0.838 0.250
I2 I 0.502 0.002 0.750
I3 I 0.662 0.836 0.750
I4 I 0.164 0.338 0.250
I5 I 0.838 0.664 0.250
I6 I 0.998 0.498 0.250
I7 I 0.002 0.502 0.750
I8 I 0.836 0.662 0.750
I9 I 0.162 0.336 0.750
I10 I 0.338 0.164 0.250
I11 I 0.498 0.998 0.250
I12 I 0.336 0.162 0.750

***

Which structure is the least stable? The one labeled run 3.

***

Run 1
# Ba3SrI, relaxed, DFT PBE-GGA
# ρ, g cm⁻³: 3.4
# Symmetry: No. 221
data_Ba3SrI
_chemical_formula_sum 'Ba3 Sr1 I1'
_cell_length_a 6.766
_cell_length_b 6.766
_cell_length_c 6.766
_cell_angle_alpha 90.00
_cell_angle_beta 90.00
_cell_angle_gamma 90.00
_space_group_name_H-M_alt 'P 1'
_space_group_IT_number 1
loop_
_space_group_symop_operation_xyz
'x,y,z'
loop_
_atom_site_label
_atom_site_type_symbol
_atom_site_fract_x
_atom_site_fract_y
_atom_site_fract_z
I1 I 0.000 0.000 0.000
Sr1 Sr 0.500 0.500 0.500
Ba1 Ba 0.000 0.500 0.000
Ba2 Ba 0.000 0.000 0.500
Ba3 Ba 0.500 0.000 0.000

***

Run 2
# Ba3SrI, relaxed, DFT PBE-GGA
# ρ, g cm⁻³: 2.8
# Symmetry: No. 221
data_Ba3SrI
_chemical_formula_sum 'Ba3 Sr1 I1'
_cell_length_a 7.182
_cell_length_b 7.182
_cell_length_c 7.182
_cell_angle_alpha 90.00
_cell_angle_beta 90.00
_cell_angle_gamma 90.00
_space_group_name_H-M_alt 'P 1'
_space_group_IT_number 1
loop_
_space_group_symop_operation_xyz
'x,y,z'
loop_
_atom_site_label
_atom_site_type_symbol
_atom_site_fract_x
_atom_site_fract_y
_atom_site_fract_z
I1 I 0.500 0.500 0.500
Sr1 Sr 0.000 0.000 0.000
Ba1 Ba 0.000 0.500 0.000
Ba2 Ba 0.000 0.000 0.500
Ba3 Ba 0.500 0.000 0.000

***

Which structure is the least stable? The one labeled run 2.

***

Run 1
# BaSrI3, relaxed, DFT PBE-GGA
# ρ, g cm⁻³: 3.9
# Symmetry: No. 221
data_BaSrI3
_chemical_formula_sum 'Ba1 Sr1 I3'
_cell_length_a 6.379
_cell_length_b 6.379
_cell_length_c 6.379
_cell_angle_alpha 90.00
_cell_angle_beta 90.00
_cell_angle_gamma 90.00
_space_group_name_H-M_alt 'P 1'
_space_group_IT_number 1
loop_
_space_group_symop_operation_xyz
'x,y,z'
loop_
_atom_site_label
_atom_site_type_symbol
_atom_site_fract_x
_atom_site_fract_y
_atom_site_fract_z
I1 I 0.000 0.500 0.000
I2 I 0.000 0.000 0.500
I3 I 0.500 0.000 0.000
Sr1 Sr 0.000 0.000 0.000
Ba1 Ba 0.500 0.500 0.500

***

Run 2
# BaSrI3, relaxed, DFT PBE-GGA
# ρ, g cm⁻³: 3.3
# Symmetry: No. 221
data_BaSrI3
_chemical_formula_sum 'Ba1 Sr1 I3'
_cell_length_a 6.713
_cell_length_b 6.713
_cell_length_c 6.713
_cell_angle_alpha 90.00
_cell_angle_beta 90.00
_cell_angle_gamma 90.00
_space_group_name_H-M_alt 'P 1'
_space_group_IT_number 1
loop_
_space_group_symop_operation_xyz
'x,y,z'
loop_
_atom_site_label
_atom_site_type_symbol
_atom_site_fract_x
_atom_site_fract_y
_atom_site_fract_z
I1 I 0.000 0.500 0.000
I2 I 0.000 0.000 0.500
I3 I 0.500 0.000 0.000
Sr1 Sr 0.500 0.500 0.500
Ba1 Ba 0.000 0.000 0.000

***

Which structure is the least stable? The one labeled run 2.

***

Run 1
# BaSrTe2I, relaxed, DFT PBE-GGA
# ρ, g cm⁻³: 3.8
# Symmetry: No. 123
data_BaSrTe2I
_chemical_formula_sum 'Ba1 Sr1 Te2 I1'
_cell_length_a 6.402
_cell_length_b 6.402
_cell_length_c 6.435
_cell_angle_alpha 90.00
_cell_angle_beta 90.00
_cell_angle_gamma 90.00
_space_group_name_H-M_alt 'P 1'
_space_group_IT_number 1
loop_
_space_group_symop_operation_xyz
'x,y,z'
loop_
_atom_site_label
_atom_site_type_symbol
_atom_site_fract_x
_atom_site_fract_y
_atom_site_fract_z
I1 I 0.000 0.000 0.500
Sr1 Sr 0.500 0.500 0.500
Te1 Te 0.000 0.500 0.000
Te2 Te 0.500 0.000 0.000
Ba1 Ba 0.000 0.000 0.000

***

Run 2
# BaSrTe2I, relaxed, DFT PBE-GGA
# ρ, g cm⁻³: 4.3
# Symmetry: No. 123
data_BaSrTe2I
_chemical_formula_sum 'Ba1 Sr1 Te2 I1'
_cell_length_a 6.145
_cell_length_b 6.145
_cell_length_c 6.232
_cell_angle_alpha 90.00
_cell_angle_beta 90.00
_cell_angle_gamma 90.00
_space_group_name_H-M_alt 'P 1'
_space_group_IT_number 1
loop_
_space_group_symop_operation_xyz
'x,y,z'
loop_
_atom_site_label
_atom_site_type_symbol
_atom_site_fract_x
_atom_site_fract_y
_atom_site_fract_z
I1 I 0.000 0.000 0.500
Sr1 Sr 0.000 0.000 0.000
Te1 Te 0.000 0.500 0.000
Te2 Te 0.500 0.000 0.000
Ba1 Ba 0.500 0.500 0.500

***

Which structure is the least stable? The one labeled run 1.